[1]
A PBEsol-optimized structure of TaBeOs2, computed with meta-GGA SCAN.

Properties
Size of the total moment: 0.000 μB/f.u.
SG: P4/mmm, No. 123
ΔH_f (0 K): -0.42 eV/atom

a b c (Å): 3.0487 3.0487 5.8342
angles (deg): 90.00 90.00 90.00
Closest atoms and distances in Å follow each position.
Fractional positions:
Be: 0.5000 0.5000 0.5000  8 Os 2.53
Os: 0.0000 0.0000 0.7270  4 Be 2.53, 1 Os 2.65, 4 Ta 2.68
Os: 0.0000 0.0000 0.2730  4 Be 2.53, 1 Os 2.65, 4 Ta 2.68
Ta: 0.5000 0.5000 0.0000  8 Os 2.68, 2 Be 2.92

[2]
A PBEsol-optimized structure of CrFeMo, computed with meta-GGA SCAN.

Properties
Size of the total moment: 3.576 μB/f.u.
SG: F-43m, No. 216
ΔH_f (0 K): 0.88 eV/atom

a b c (Å): 3.9787 3.9787 3.9787
angles (deg): 60.00 60.00 60.00
Closest atoms and distances in Å follow each position.
Fractional positions:
Cr: 0.0000 0.0000 0.0000  4 Mo 2.44
Fe: 0.5000 0.5000 0.5000  4 Mo 2.44
Mo: 0.2500 0.2500 0.2500  4 Cr 2.44, 4 Fe 2.44

[3]
A PBEsol-optimized structure of Ta2RePt, computed with meta-GGA SCAN.

Properties
Size of the total moment: 0.000 μB/f.u.
SG: P2/m, No. 10
ΔH_f (0 K): -0.44 eV/atom

a b c (Å): 2.7700 4.0404 5.7768
angles (deg): 90.00 95.66 90.00
Closest atoms and distances in Å follow each position.
Fractional positions:
Pt: 0.5000 0.5000 0.0000  2 Pt 2.77, 8 Ta 2.83-2.89, 2 Re 2.89
Re: 0.5000 0.5000 0.5000  4 Ta 2.67, 2 Re 2.77, 2 Pt 2.89
Ta: 0.9267 0.0000 0.7442  2 Re 2.67, 4 Ta 2.77-2.94, 4 Pt 2.83-2.89
Ta: 0.0733 0.0000 0.2558  2 Re 2.67, 4 Ta 2.77-2.94, 4 Pt 2.83-2.89

[4]
A PBEsol-optimized structure of Li2CeTl, computed with meta-GGA SCAN.

Properties
Size of the total moment: 1.056 μB/f.u.
SG: Fm-3m, No. 225
ΔH_f (0 K): -0.28 eV/atom

a b c (Å): 4.8789 4.8789 4.8789
angles (deg): 60.00 60.00 60.00
Closest atoms and distances in Å follow each position.
Fractional positions:
Tl: 0.5000 0.5000 0.5000  8 Li 2.99
Ce: 0.0000 0.0000 0.0000  8 Li 2.99
Li: 0.7500 0.7500 0.7500  4 Tl 2.99, 4 Ce 2.99
Li: 0.2500 0.2500 0.2500  4 Tl 2.99, 4 Ce 2.99

[5]
A PBEsol-optimized structure of TlI, computed with meta-GGA SCAN.

Properties
Uncorrected energy: -55.21 eV per atom
Size of the total moment: 0.000 μB/f.u.
SG: Cmcm, No. 63

a b c (Å): 4.5540 5.0712 6.7223
angles (deg): 90.00 109.80 90.00
Closest atoms and distances in Å follow each position.
Fractional positions:
I: 0.1369 0.7500 0.2738  5 Tl 3.28-3.43
I: 0.8631 0.2500 0.7262  5 Tl 3.28-3.43
Tl: 0.3964 0.7500 0.7928  5 I 3.28-3.43, 2 Tl 3.65
Tl: 0.6036 0.2500 0.2072  5 I 3.28-3.43, 2 Tl 3.65

[6]
A PBEsol-optimized structure of MgSi3Pd, computed with meta-GGA SCAN.

Properties
Uncorrected energy: -12.96 eV per atom
Size of the total moment: 0.000 μB/f.u.
SG: Pm-3m, No. 221

a b c (Å): 4.6947 4.6947 4.6947
angles (deg): 90.00 90.00 90.00
Closest atoms and distances in Å follow each position.
Fractional positions:
Si: 0.0000 0.5000 0.0000  2 Pd 2.35
Si: 0.0000 0.0000 0.5000  2 Pd 2.35
Si: 0.5000 0.0000 0.0000  2 Pd 2.35
Mg: 0.5000 0.5000 0.5000  12 Si 3.32
Pd: 0.0000 0.0000 0.0000  6 Si 2.35

[7]
A PBEsol-optimized structure of LiH2PdI, computed with meta-GGA SCAN.

Properties
Uncorrected energy: -15.06 eV per atom
Size of the total moment: 0.008 μB/f.u.
SG: P4/mmm, No. 123

a b c (Å): 3.8076 3.8076 6.2867
angles (deg): 90.00 90.00 90.00
Closest atoms and distances in Å follow each position.
Fractional positions:
I: 0.0000 0.0000 0.0000  4 H 1.90
H: 0.0000 0.5000 0.0000  2 I 1.90
H: 0.5000 0.0000 0.0000  2 I 1.90
Pd: 0.5000 0.5000 0.5000  4 Li 2.69
Li: 0.0000 0.0000 0.5000  4 Pd 2.69

[8]
A PBEsol-optimized structure of TiCu2SbN, computed with meta-GGA SCAN.

Properties
Uncorrected energy: -17.42 eV per atom
Size of the total moment: 1.718 μB/f.u.
SG: P4/mmm, No. 123

a b c (Å): 4.1215 4.6902 4.6902
angles (deg): 90.00 90.00 90.00
Closest atoms and distances in Å follow each position.
Fractional positions:
Sb: 0.0000 0.0000 0.0000  2 N 2.06
N: 0.5000 0.0000 0.0000  2 Sb 2.06
Cu: 0.0000 0.0000 0.5000  2 Sb 2.35
Cu: 0.0000 0.5000 0.0000  2 Sb 2.35
Ti: 0.5000 0.5000 0.5000  8 Cu 3.12, 4 N 3.32

[9]
A PBEsol-optimized structure of Ba2CaHg, computed with meta-GGA SCAN.

Properties
Size of the total moment: 0.023 μB/f.u.
SG: Imm2, No. 44
ΔH_f (0 K): -0.34 eV/atom

a b c (Å): 4.0888 6.1488 7.5086
angles (deg): 114.17 105.80 90.00
Closest atoms and distances in Å follow each position.
Fractional positions:
Ca: 0.5583 0.0583 0.1166  2 Hg 3.13
Hg: 0.2393 0.2393 0.4786  2 Ca 3.13, 2 Ba 3.41
Ba: 0.9478 0.4478 0.8957  2 Hg 3.41
Ba: 0.7545 0.7545 0.5091  4 Hg 3.70, 4 Ba 3.98-4.09, 2 Ca 4.00

[10]
A PBEsol-optimized structure of W3SCl, computed with meta-GGA SCAN.

Properties
Uncorrected energy: -43.14 eV per atom
Size of the total moment: 0.000 μB/f.u.
SG: Pm-3m, No. 221

a b c (Å): 4.3747 4.3747 4.3747
angles (deg): 90.00 90.00 90.00
Closest atoms and distances in Å follow each position.
Fractional positions:
S: 0.5000 0.5000 0.5000  12 W 3.09
W: 0.0000 0.5000 0.0000  2 Cl 2.19
W: 0.0000 0.0000 0.5000  2 Cl 2.19
W: 0.5000 0.0000 0.0000  2 Cl 2.19
Cl: 0.0000 0.0000 0.0000  6 W 2.19

[11]
A PBEsol-optimized structure of TiMnP2S, computed with meta-GGA SCAN.

Properties
Uncorrected energy: -12.78 eV per atom
Size of the total moment: 4.055 μB/f.u.
SG: P4/mmm, No. 123

a b c (Å): 4.2334 4.2334 4.6878
angles (deg): 90.00 90.00 90.00
Closest atoms and distances in Å follow each position.
Fractional positions:
P: 0.0000 0.5000 0.0000  2 Mn 2.12
P: 0.5000 0.0000 0.0000  2 Mn 2.12
S: 0.0000 0.0000 0.5000  2 Mn 2.34
Mn: 0.0000 0.0000 0.0000  4 P 2.12, 2 S 2.34
Ti: 0.5000 0.5000 0.5000  4 S 2.99, 8 P 3.16

[12]
A PBEsol-optimized structure of KCd2P, computed with meta-GGA SCAN.

Properties
Size of the total moment: 0.000 μB/f.u.
SG: F-43m, No. 216
ΔH_f (0 K): 0.11 eV/atom

a b c (Å): 5.0545 5.0545 5.0545
angles (deg): 60.00 60.00 60.00
Closest atoms and distances in Å follow each position.
Fractional positions:
Cd: 0.0000 0.0000 0.0000  4 Cd 3.10, 4 P 3.10
Cd: 0.7500 0.7500 0.7500  4 Cd 3.10, 4 K 3.10
K: 0.5000 0.5000 0.5000  4 Cd 3.10, 4 P 3.10
P: 0.2500 0.2500 0.2500  4 K 3.10, 4 Cd 3.10